(1)
10
Lattice="4.349 0.000 0.000 0.014 5.778 0.000 0.005 0.000 5.778" Properties=species:S:1:pos:R:3 comment="PBE-GGA MgBPd3, optimized geometry" polymorph_energy_ev_per_atom=0.0126 n_ef_per_ev_fu=2.445 pbc="T T T"
Mg 0.000 0.000 0.000
Mg 0.010 2.886 2.890
B 2.188 5.776 2.887
B 2.184 2.887 5.776
Pd 4.359 2.888 5.778
Pd 2.179 1.133 4.640
Pd 2.184 4.023 4.023
Pd 2.182 1.752 1.751
Pd 2.187 4.641 1.133
Pd 4.363 5.774 2.887

***

(2)
4
Lattice="2.888 0.000 0.000 0.000 4.331 0.000 -1.024 0.000 5.044" Properties=species:S:1:pos:R:3 comment="PBE-GGA Ta2MnAl, optimized geometry" n_ef_per_ev_fu=2.340 pbc="T T T"
Ta 0.000 0.000 0.000
Ta 0.067 2.166 3.518
Mn 1.026 0.000 2.573
Al 1.515 2.166 1.160

***

In eV per formula unit, the ΔH_f (0 K) values for the records above are, in order, -2.364 -0.279.